Entry from Alexandria: TcSnGe after structural relaxation (PBE).

```
data_TcSnGe
_chemical_formula_sum 'Tc2 Sn2 Ge2'
_cell_length_a 3.3500
_cell_length_b 3.3500
_cell_length_c 9.4831
_cell_angle_alpha 90.00
_cell_angle_beta 90.00
_cell_angle_gamma 90.00
_symmetry_space_group_name_H-M 'I 4 m m'
_symmetry_Int_Tables_number 107
_symmetry_space_group_name_Hall 'I 4 -2'
loop_
_atom_site_label
_atom_site_type_symbol
_atom_site_fract_x
_atom_site_fract_y
_atom_site_fract_z
Tc1 Tc 0.0000 0.0000 0.0000
Sn1 Sn 0.0000 0.0000 0.3154
Ge1 Ge 0.0000 0.0000 0.6178
```

Computed properties:
Relative energy among the computed polymorphs, meV per atom: 0
DOS(E_F), states/eV/f.u.: 1.46
Spin magnetization, μB per cell: 0.0
Raw total energy, hartree per atom: -0.2307
Energy relative to the elements, kJ/mol of formula units: 15



Entry from Alexandria: TcSnGe after structural relaxation (PBE).

```
data_TcSnGe
_chemical_formula_sum 'Tc4 Sn4 Ge4'
_cell_length_a 12.9387
_cell_length_b 3.2063
_cell_length_c 6.4470
_cell_angle_alpha 90.00
_cell_angle_beta 111.91
_cell_angle_gamma 90.00
_symmetry_space_group_name_H-M 'C 1 2/m 1'
_symmetry_Int_Tables_number 12
_symmetry_space_group_name_Hall '-C 2y'
loop_
_atom_site_label
_atom_site_type_symbol
_atom_site_fract_x
_atom_site_fract_y
_atom_site_fract_z
Tc1 Tc 0.1010 0.0000 0.2295
Sn1 Sn 0.0890 0.5000 0.8749
Ge1 Ge 0.1819 0.5000 0.5544
```

Computed properties:
Relative energy among the computed polymorphs, meV per atom: 88
DOS(E_F), states/eV/f.u.: 2.72
Spin magnetization, μB per cell: 0.0
Raw total energy, hartree per atom: -0.2275
Energy relative to the elements, kJ/mol of formula units: 40



Entry from Alexandria: TcSn3Ge after structural relaxation (PBE).

```
data_TcSn3Ge
_chemical_formula_sum 'Tc1 Sn3 Ge1'
_cell_length_a 5.1857
_cell_length_b 5.1857
_cell_length_c 5.1857
_cell_angle_alpha 90.00
_cell_angle_beta 90.00
_cell_angle_gamma 90.00
_symmetry_space_group_name_H-M 'P m -3 m'
_symmetry_Int_Tables_number 221
_symmetry_space_group_name_Hall '-P 4 2 3'
loop_
_atom_site_label
_atom_site_type_symbol
_atom_site_fract_x
_atom_site_fract_y
_atom_site_fract_z
Tc1 Tc 0.0000 0.0000 0.0000
Sn1 Sn 0.0000 0.0000 0.5000
Ge1 Ge 0.5000 0.5000 0.5000
```

Computed properties:
Relative energy among the computed polymorphs, meV per atom: 0
DOS(E_F), states/eV/f.u.: 3.79
Spin magnetization, μB per cell: 2.4
Raw total energy, hartree per atom: -0.1818
Energy relative to the elements, kJ/mol of formula units: 218



Entry from Alexandria: TcSn2Ge4 after structural relaxation (PBE).

```
data_TcSn2Ge4
_chemical_formula_sum 'Tc2 Sn4 Ge8'
_cell_length_a 4.6655
_cell_length_b 4.6655
_cell_length_c 16.6967
_cell_angle_alpha 90.00
_cell_angle_beta 90.00
_cell_angle_gamma 90.00
_symmetry_space_group_name_H-M 'I 4/m m m'
_symmetry_Int_Tables_number 139
_symmetry_space_group_name_Hall '-I 4 2'
loop_
_atom_site_label
_atom_site_type_symbol
_atom_site_fract_x
_atom_site_fract_y
_atom_site_fract_z
Tc1 Tc 0.0000 0.0000 0.0000
Sn1 Sn 0.0000 0.0000 0.3091
Ge1 Ge 0.0000 0.0000 0.1499
Ge2 Ge 0.0000 0.5000 0.0000
```

Computed properties:
DOS(E_F), states/eV/f.u.: 2.85
Spin magnetization, μB per cell: 0.0
Raw total energy, hartree per atom: -0.1824
Energy relative to the elements, kJ/mol of formula units: 202



Entry from Alexandria: TcSn3Ge after structural relaxation (PBE).

```
data_TcSn3Ge
_chemical_formula_sum 'Tc1 Sn3 Ge1'
_cell_length_a 5.2469
_cell_length_b 5.2469
_cell_length_c 5.2469
_cell_angle_alpha 90.00
_cell_angle_beta 90.00
_cell_angle_gamma 90.00
_symmetry_space_group_name_H-M 'P m -3 m'
_symmetry_Int_Tables_number 221
_symmetry_space_group_name_Hall '-P 4 2 3'
loop_
_atom_site_label
_atom_site_type_symbol
_atom_site_fract_x
_atom_site_fract_y
_atom_site_fract_z
Tc1 Tc 0.0000 0.0000 0.0000
Sn1 Sn 0.0000 0.5000 0.5000
Ge1 Ge 0.5000 0.5000 0.5000
```

Computed properties:
Relative energy among the computed polymorphs, meV per atom: 767
DOS(E_F), states/eV/f.u.: 5.05
Spin magnetization, μB per cell: 3.5
Raw total energy, hartree per atom: -0.1536
Energy relative to the elements, kJ/mol of formula units: 588



Entry from Alexandria: TcSnGe2Te after structural relaxation (PBE).

```
data_TcSnGe2Te
_chemical_formula_sum 'Tc1 Sn1 Ge2 Te1'
_cell_length_a 5.1857
_cell_length_b 5.1857
_cell_length_c 5.7407
_cell_angle_alpha 90.00
_cell_angle_beta 90.00
_cell_angle_gamma 90.00
_symmetry_space_group_name_H-M 'P 4/m m m'
_symmetry_Int_Tables_number 123
_symmetry_space_group_name_Hall '-P 4 2'
loop_
_atom_site_label
_atom_site_type_symbol
_atom_site_fract_x
_atom_site_fract_y
_atom_site_fract_z
Tc1 Tc 0.0000 0.0000 0.0000
Sn1 Sn 0.5000 0.5000 0.5000
Ge1 Ge 0.0000 0.5000 0.5000
Te1 Te 0.5000 0.5000 0.0000
```

Computed properties:
DOS(E_F), states/eV/f.u.: 4.76
Energy relative to the elements, uncorrected, meV per atom: 1473
Spin magnetization, μB per cell: 3.5
Raw total energy, hartree per atom: -0.1424



Question: spin magnetization of number 5 (TcSn3Ge)?
Answer: 3.5 μB per cell



Question: Which formula does entry 4 have?
Answer: TcSn2Ge4